First-principles (PBE) data for LiAlZnF6 after structural relaxation, as listed in the Alexandria database.

* uncorrected energy: -5.00 eV/atom
* energy relative to the elements, uncorrected: -2594 kJ/mol of formula units

a = 5.1044 Å, b = 5.1044 Å, c = 8.9486 Å
α = 90.00°, β = 90.00°, γ = 120.00°
Fractional positions:
Li1 0.0000 0.0000 0.0000
Li2 0.0000 0.0000 0.5000
Al1 0.3333 0.6667 0.2500
Al2 0.6667 0.3333 0.7500
Zn1 0.3333 0.6667 0.7500
Zn2 0.6667 0.3333 0.2500
F1 0.0339 0.3692 0.1355
F2 0.0339 0.6647 0.3645
F3 0.3353 0.3692 0.3645
F4 0.3353 0.9661 0.1355
F5 0.3692 0.0339 0.6355
F6 0.3692 0.3353 0.8645
F7 0.6308 0.6647 0.1355
F8 0.6308 0.9661 0.3645
F9 0.6647 0.0339 0.8645
F10 0.6647 0.6308 0.6355
F11 0.9661 0.3353 0.6355
F12 0.9661 0.6308 0.8645



First-principles (PBE) data for TmUPa2P4 after structural relaxation, as listed in the Alexandria database.

* uncorrected energy: -8.34 eV/atom

a = 6.8354 Å, b = 3.9446 Å, c = 6.8533 Å
α = 90.00°, β = 109.39°, γ = 90.00°
Fractional positions:
Tm1 0.0000 0.0000 0.0000
U1 0.0000 0.5000 0.5000
Pa1 0.5000 0.0000 0.5000
Pa2 0.5000 0.5000 0.0000
P1 0.2466 0.0000 0.7496
P2 0.2475 0.5000 0.2493
P3 0.7534 0.0000 0.2504
P4 0.7525 0.5000 0.7507



First-principles (PBE) data for TbHoTh4 after structural relaxation, as listed in the Alexandria database.

* uncorrected energy: -6.39 eV/atom

a = 3.4946 Å, b = 5.7120 Å, c = 9.8707 Å
α = 90.00°, β = 90.00°, γ = 90.00°
Fractional positions:
Tb1 0.0000 0.0000 0.0000
Ho1 0.0000 0.5000 0.5000
Th1 0.5000 0.0000 0.3339
Th2 0.5000 0.0000 0.6661
Th3 0.5000 0.5000 0.1675
Th4 0.5000 0.5000 0.8325



First-principles (PBE) data for CaIn2NiTe after structural relaxation, as listed in the Alexandria database.

* uncorrected energy: -3.71 eV/atom
* energy relative to the elements, uncorrected: -206 kJ/mol of formula units

a = 4.9565 Å, b = 4.9565 Å, c = 5.4584 Å
α = 90.00°, β = 90.00°, γ = 90.00°
Fractional positions:
Ca1 0.0000 0.0000 0.0000
In1 0.0000 0.5000 0.5000
In2 0.5000 0.0000 0.5000
Ni1 0.0000 0.0000 0.5000
Te1 0.5000 0.5000 0.0000



First-principles (PBE) data for Tm2MgNi9 after structural relaxation, as listed in the Alexandria database.

* uncorrected energy: -5.53 eV/atom

a = 8.4884 Å, b = 8.4884 Å, c = 8.4884 Å
α = 33.53°, β = 33.53°, γ = 33.53°
Fractional positions:
Tm1 0.1367 0.1367 0.1367
Tm2 0.8633 0.8633 0.8633
Mg1 0.0000 0.0000 0.0000
Ni1 0.0804 0.5830 0.5830
Ni2 0.3331 0.3331 0.3331
Ni3 0.4170 0.4170 0.9196
Ni4 0.4170 0.9196 0.4170
Ni5 0.5000 0.5000 0.5000
Ni6 0.5830 0.0804 0.5830
Ni7 0.5830 0.5830 0.0804
Ni8 0.6669 0.6669 0.6669
Ni9 0.9196 0.4170 0.4170



First-principles (PBE) data for YMg2In after structural relaxation, as listed in the Alexandria database.

* uncorrected energy: -3.22 eV/atom

a = 3.5210 Å, b = 3.5210 Å, c = 8.1741 Å
α = 90.00°, β = 90.00°, γ = 90.00°
Fractional positions:
Y1 0.0000 0.0000 0.0000
Mg1 0.5000 0.5000 0.2760
Mg2 0.5000 0.5000 0.7240
In1 0.0000 0.0000 0.5000



First-principles (PBE) data for TcAgBr6 after structural relaxation, as listed in the Alexandria database.

* uncorrected energy: -3.19 eV/atom
* energy relative to the elements, uncorrected: -220 kJ/mol of formula units

a = 7.0335 Å, b = 7.0335 Å, c = 6.9111 Å
α = 102.13°, β = 102.13°, γ = 120.68°
Fractional positions:
Tc1 0.0000 0.0000 0.0000
Ag1 0.5000 0.5000 0.5000
Br1 0.0868 0.3859 0.2405
Br2 0.2137 0.2137 0.7899
Br3 0.3859 0.0868 0.2405
Br4 0.6141 0.9132 0.7595
Br5 0.7863 0.7863 0.2101
Br6 0.9132 0.6141 0.7595



First-principles (PBE) data for Rb2CaYI6 after structural relaxation, as listed in the Alexandria database.

* uncorrected energy: -3.32 eV/atom
* energy relative to the elements, uncorrected: -1305 kJ/mol of formula units

a = 8.6975 Å, b = 8.6975 Å, c = 8.6975 Å
α = 60.00°, β = 60.00°, γ = 60.00°
Fractional positions:
Rb1 0.2500 0.2500 0.2500
Rb2 0.7500 0.7500 0.7500
Ca1 0.0000 0.0000 0.0000
Y1 0.5000 0.5000 0.5000
I1 0.2516 0.2516 0.7484
I2 0.2516 0.7484 0.2516
I3 0.2516 0.7484 0.7484
I4 0.7484 0.2516 0.2516
I5 0.7484 0.2516 0.7484
I6 0.7484 0.7484 0.2516



First-principles (PBE) data for Nd9Y2Tl after structural relaxation, as listed in the Alexandria database.

* uncorrected energy: -4.90 eV/atom

a = 5.0779 Å, b = 5.0779 Å, c = 15.5765 Å
α = 90.00°, β = 90.00°, γ = 90.00°
Fractional positions:
Nd1 0.0000 0.0000 0.0000
Nd2 0.0000 0.0000 0.3304
Nd3 0.0000 0.0000 0.6696
Nd4 0.0000 0.5000 0.1617
Nd5 0.0000 0.5000 0.5000
Nd6 0.0000 0.5000 0.8383
Nd7 0.5000 0.0000 0.1617
Nd8 0.5000 0.0000 0.5000
Nd9 0.5000 0.0000 0.8383
Y1 0.5000 0.5000 0.3318
Y2 0.5000 0.5000 0.6682
Tl1 0.5000 0.5000 0.0000



First-principles (PBE) data for BeTeBr after structural relaxation, as listed in the Alexandria database.

* uncorrected energy: -3.33 eV/atom
* energy relative to the elements, uncorrected: -140 kJ/mol of formula units
* ΔE to the lowest computed polymorph: 0.000 eV/atom

a = 7.3951 Å, b = 7.4045 Å, c = 8.0434 Å
α = 100.75°, β = 97.60°, γ = 101.19°
Fractional positions:
Be1 0.0000 0.0000 0.0000
Be2 0.0343 0.5337 0.0230
Be3 0.3509 0.0219 0.1667
Be4 0.5269 0.6790 0.9627
Te1 0.0023 0.2974 0.1996
Te2 0.3700 0.3172 0.3522
Te3 0.7258 0.4697 0.8455
Te4 0.7269 0.8294 0.7794
Br1 0.0675 0.8185 0.1965
Br2 0.2396 0.5275 0.8488
Br3 0.2626 0.0279 0.8946
Br4 0.5595 0.8564 0.2183



First-principles (PBE) data for CuHg2Ge2 after structural relaxation, as listed in the Alexandria database.

* uncorrected energy: -2.38 eV/atom
* ΔE to the lowest computed polymorph: 0.229 eV/atom

a = 7.2652 Å, b = 7.2652 Å, c = 4.0980 Å
α = 90.00°, β = 90.00°, γ = 90.00°
Fractional positions:
Cu1 0.0000 0.0000 0.0000
Cu2 0.5000 0.5000 0.0000
Hg1 0.1747 0.3253 0.0000
Hg2 0.3253 0.8253 0.0000
Hg3 0.6747 0.1747 0.0000
Hg4 0.8253 0.6747 0.0000
Ge1 0.1314 0.6314 0.5000
Ge2 0.3686 0.1314 0.5000
Ge3 0.6314 0.8686 0.5000
Ge4 0.8686 0.3686 0.5000



First-principles (PBE) data for SrSbAuI2 after structural relaxation, as listed in the Alexandria database.

* uncorrected energy: -2.72 eV/atom
* energy relative to the elements, uncorrected: -139 kJ/mol of formula units
* ΔE to the lowest computed polymorph: 0.000 eV/atom

a = 5.7130 Å, b = 5.7130 Å, c = 5.5762 Å
α = 90.00°, β = 90.00°, γ = 90.00°
Fractional positions:
Sr1 0.0000 0.0000 0.0000
Sb1 0.5000 0.5000 0.0000
Au1 0.5000 0.5000 0.5000
I1 0.0000 0.5000 0.5000
I2 0.5000 0.0000 0.5000